(1)
# Nd3Zn9Ag2

A relaxed Nd3Zn9Ag2 crystal (PBE, the Alexandria database).

Lattice parameters (Å, degrees): 4.5078 8.4133 8.4133 63.82 74.46 74.46
Fractional coordinates of all 14 atoms:
Nd 0.0000 0.0000 0.0000
Nd 0.7037 0.2963 0.2963
Nd 0.2963 0.7037 0.7037
Zn 0.0000 0.5000 0.5000
Zn 0.6635 0.9773 0.6957
Zn 0.3365 0.0227 0.3043
Zn 0.6635 0.6957 0.9773
Zn 0.3365 0.3043 0.0227
Zn 0.8628 0.8546 0.4198
Zn 0.1372 0.1454 0.5802
Zn 0.8628 0.4198 0.8546
Zn 0.1372 0.5802 0.1454
Ag 0.5000 0.3105 0.6895
Ag 0.5000 0.6895 0.3105

Output
Volume, Å³/atom: 19.41
Total magnetic moment, Bohr magnetons per cell: 0.000
Theoretical density, g/cm³: 7.6
Calculated total energy, eV per atom: -2.5614

---

(2)
# Nd2Zn5Ag12

A relaxed Nd2Zn5Ag12 crystal (PBE, the Alexandria database).

Lattice parameters (Å, degrees): 7.1942 7.1942 7.1942 82.35 82.35 82.35
Fractional coordinates of all 19 atoms:
Nd 0.6530 0.6530 0.6530
Nd 0.3470 0.3470 0.3470
Zn 0.0000 0.0000 0.5000
Zn 0.0000 0.5000 0.0000
Zn 0.5000 0.0000 0.0000
Zn 0.9013 0.9013 0.9013
Zn 0.0987 0.0987 0.0987
Ag 0.3018 0.6982 0.0000
Ag 0.6982 0.0000 0.3018
Ag 0.0000 0.3018 0.6982
Ag 0.6982 0.3018 0.0000
Ag 0.3018 0.0000 0.6982
Ag 0.0000 0.6982 0.3018
Ag 0.3433 0.3433 0.8566
Ag 0.3433 0.8566 0.3433
Ag 0.8566 0.3433 0.3433
Ag 0.6567 0.1434 0.6567
Ag 0.6567 0.6567 0.1434
Ag 0.1434 0.6567 0.6567

Output
Volume, Å³/atom: 19.12
Total magnetic moment, Bohr magnetons per cell: 0.000
Theoretical density, g/cm³: 8.7
Calculated total energy, eV per atom: -2.7555

---

(3)
# Nd5Zn2Ag

A relaxed Nd5Zn2Ag crystal (PBE, the Alexandria database).

Lattice parameters (Å, degrees): 7.5506 7.5506 9.6126 113.13 113.13 90.00
Fractional coordinates of all 16 atoms:
Nd 0.5187 0.6822 0.7009
Nd 0.8178 0.9813 0.2991
Nd 0.0000 0.0000 0.0000
Nd 0.5000 0.5000 0.0000
Nd 0.1822 0.0187 0.7009
Nd 0.6822 0.1822 0.7009
Nd 0.0187 0.5187 0.7009
Nd 0.3178 0.8178 0.2991
Nd 0.9813 0.4813 0.2991
Nd 0.4813 0.3178 0.2991
Zn 0.1195 0.3805 0.0000
Zn 0.6195 0.1195 0.0000
Zn 0.3805 0.8805 0.0000
Zn 0.8805 0.6195 0.0000
Ag 0.7500 0.7500 0.5000
Ag 0.2500 0.2500 0.5000

Output
Volume, Å³/atom: 28.48
Total magnetic moment, Bohr magnetons per cell: 0.000
Theoretical density, g/cm³: 7.0
Calculated total energy, eV per atom: -3.8297

---

(4)
# Nd2ZnAg5

A relaxed Nd2ZnAg5 crystal (PBE, the Alexandria database).

Lattice parameters (Å, degrees): 4.3916 8.6996 9.8199 90.00 90.00 104.62
Fractional coordinates of all 16 atoms:
Nd 0.8065 0.6130 0.7500
Nd 0.1935 0.3870 0.2500
Nd 0.0000 0.0000 0.0000
Nd 0.0000 0.0000 0.5000
Zn 0.4522 0.9044 0.7500
Zn 0.5478 0.0956 0.2500
Ag 0.1939 0.3879 0.8931
Ag 0.8061 0.6121 0.1069
Ag 0.1939 0.3879 0.6069
Ag 0.8061 0.6121 0.3931
Ag 0.3616 0.7232 0.9663
Ag 0.6384 0.2768 0.0337
Ag 0.3616 0.7232 0.5337
Ag 0.6384 0.2768 0.4663
Ag 0.6053 0.2106 0.7500
Ag 0.3947 0.7894 0.2500

Output
Volume, Å³/atom: 22.69
Total magnetic moment, Bohr magnetons per cell: 0.000
Theoretical density, g/cm³: 8.2
Calculated total energy, eV per atom: -3.3123

---

(5)
# Nd3Zn4Ag4

A relaxed Nd3Zn4Ag4 crystal (PBE, the Alexandria database).

Lattice parameters (Å, degrees): 4.3244 7.6070 8.4904 116.61 104.75 90.00
Fractional coordinates of all 11 atoms:
Nd 0.1255 0.1255 0.2510
Nd 0.8745 0.8745 0.7490
Nd 0.0000 0.5000 0.0000
Zn 0.2210 0.7210 0.4421
Zn 0.7790 0.2790 0.5579
Zn 0.5000 0.8210 0.0000
Zn 0.5000 0.1790 0.0000
Ag 0.3292 0.1372 0.6585
Ag 0.6708 0.4787 0.3415
Ag 0.6708 0.8628 0.3415
Ag 0.3292 0.5213 0.6585

Output
Volume, Å³/atom: 21.76
Total magnetic moment, Bohr magnetons per cell: 0.000
Theoretical density, g/cm³: 7.8
Calculated total energy, eV per atom: -3.0635

---

(6)
# NdZn6Ag6

A relaxed NdZn6Ag6 crystal (PBE, the Alexandria database).

Lattice parameters (Å, degrees): 5.2203 7.1035 7.1035 82.27 68.44 68.44
Fractional coordinates of all 13 atoms:
Nd 0.0000 0.0000 0.0000
Zn 0.0000 0.5000 0.0000
Zn 0.5000 0.5000 0.0000
Zn 0.0000 0.0000 0.5000
Zn 0.5000 0.0000 0.5000
Zn 0.5000 0.7732 0.2268
Zn 0.5000 0.2268 0.7732
Ag 0.3495 0.6505 0.6505
Ag 0.6505 0.3495 0.3495
Ag 0.0000 0.3461 0.6539
Ag 0.0000 0.6539 0.3461
Ag 0.2980 0.2020 0.2020
Ag 0.7020 0.7980 0.7980

Output
Volume, Å³/atom: 17.53
Total magnetic moment, Bohr magnetons per cell: 0.000
Theoretical density, g/cm³: 8.6
Calculated total energy, eV per atom: -2.4320

---

(7)
# Nd4Zn3Ag2

A relaxed Nd4Zn3Ag2 crystal (PBE, the Alexandria database).

Lattice parameters (Å, degrees): 5.0602 5.0628 10.0291 89.99 90.00 60.02
Fractional coordinates of all 9 atoms:
Nd 0.6667 0.6665 0.8883
Nd 0.0000 0.0000 0.3398
Nd 0.0000 0.0000 0.6602
Nd 0.3333 0.3335 0.1117
Zn 0.3331 0.3338 0.5046
Zn 0.0000 0.0000 0.0000
Zn 0.6669 0.6662 0.4954
Ag 0.3334 0.3330 0.7964
Ag 0.6666 0.6670 0.2036

Output
Volume, Å³/atom: 24.73
Total magnetic moment, Bohr magnetons per cell: 0.001
Theoretical density, g/cm³: 7.4
Calculated total energy, eV per atom: -3.3884

---

(8)
# Nd3ZnAg3

A relaxed Nd3ZnAg3 crystal (PBE, the Alexandria database).

Lattice parameters (Å, degrees): 4.3665 5.8475 15.2739 84.35 81.78 68.08
Fractional coordinates of all 14 atoms:
Nd 0.5327 0.3238 0.6109
Nd 0.4673 0.6762 0.3891
Nd 0.2557 0.2539 0.2347
Nd 0.7443 0.7461 0.7653
Nd 0.3947 0.2897 0.9208
Nd 0.6053 0.7103 0.0792
Zn 0.7610 0.0910 0.3869
Zn 0.2390 0.9090 0.6131
Ag 0.8586 0.7427 0.5401
Ag 0.1414 0.2573 0.4599
Ag 0.1104 0.8568 0.9224
Ag 0.8896 0.1432 0.0776
Ag 0.9693 0.8264 0.2351
Ag 0.0307 0.1736 0.7649

Output
Volume, Å³/atom: 25.55
Total magnetic moment, Bohr magnetons per cell: 0.000
Theoretical density, g/cm³: 7.6
Calculated total energy, eV per atom: -3.6967

---

(9)
# NdZn9Ag2

A relaxed NdZn9Ag2 crystal (PBE, the Alexandria database).

Lattice parameters (Å, degrees): 3.0864 8.8462 8.8462 120.00 90.00 90.00
Fractional coordinates of all 12 atoms:
Nd 0.0000 0.0000 0.0000
Zn 0.5000 0.8177 0.1823
Zn 0.0000 0.0000 0.5000
Zn 0.0000 0.5000 0.5000
Zn 0.5000 0.8177 0.6354
Zn 0.5000 0.1823 0.8177
Zn 0.5000 0.6354 0.8177
Zn 0.5000 0.1823 0.3646
Zn 0.0000 0.5000 0.0000
Zn 0.5000 0.3646 0.1823
Ag 0.0000 0.6667 0.3333
Ag 0.0000 0.3333 0.6667

Output
Volume, Å³/atom: 17.43
Total magnetic moment, Bohr magnetons per cell: 0.000
Theoretical density, g/cm³: 7.5
Excess energy over the best structure of this formula in the dataset, meV/atom: 74

---

(10)
# Nd2Zn7Ag

A relaxed Nd2Zn7Ag crystal (PBE, the Alexandria database).

Lattice parameters (Å, degrees): 4.2775 4.2775 10.7009 90.00 90.00 90.00
Fractional coordinates of all 10 atoms:
Nd 0.5000 0.0000 0.7398
Nd 0.0000 0.5000 0.2602
Zn 0.0000 0.5000 0.8572
Zn 0.5000 0.0000 0.3720
Zn 0.5000 0.0000 0.1428
Zn 0.0000 0.5000 0.6280
Zn 0.0000 0.0000 0.5000
Zn 0.0000 0.0000 0.0000
Zn 0.5000 0.5000 0.5000
Ag 0.5000 0.5000 0.0000

Output
Volume, Å³/atom: 19.58
Total magnetic moment, Bohr magnetons per cell: 0.000
Theoretical density, g/cm³: 7.2
Calculated total energy, eV per atom: -2.4184

---

(11)
# NdZn2Ag

A relaxed NdZn2Ag crystal (PBE, the Alexandria database).

Lattice parameters (Å, degrees): 4.4683 7.1191 10.2900 90.00 90.00 90.00
Fractional coordinates of all 16 atoms:
Nd 0.7500 0.7164 0.3311
Nd 0.7500 0.2164 0.1689
Nd 0.2500 0.2836 0.6689
Nd 0.2500 0.7836 0.8311
Zn 0.7500 0.8005 0.0390
Zn 0.2500 0.1995 0.9610
Zn 0.7500 0.3005 0.4610
Zn 0.2500 0.6995 0.5390
Zn 0.7500 0.0873 0.8547
Zn 0.2500 0.4127 0.3547
Zn 0.7500 0.5873 0.6453
Zn 0.2500 0.9127 0.1453
Ag 0.2500 0.0334 0.4015
Ag 0.7500 0.9666 0.5985
Ag 0.2500 0.5334 0.0985
Ag 0.7500 0.4666 0.9015

Output
Volume, Å³/atom: 20.46
Total magnetic moment, Bohr magnetons per cell: 0.000
Theoretical density, g/cm³: 7.8
Calculated total energy, eV per atom: -2.8583

---

(12)
# Nd3Zn3Ag

A relaxed Nd3Zn3Ag crystal (PBE, the Alexandria database).

Lattice parameters (Å, degrees): 4.5924 3.6508 10.5638 99.95 102.55 90.00
Fractional coordinates of all 7 atoms:
Nd 0.3060 0.8060 0.6121
Nd 0.6918 0.1918 0.3836
Nd 0.0026 0.0026 0.0053
Zn 0.1375 0.6375 0.2750
Zn 0.8594 0.3594 0.7189
Zn 0.5677 0.5677 0.1354
Ag 0.4349 0.4349 0.8697

Output
Volume, Å³/atom: 24.31
Total magnetic moment, Bohr magnetons per cell: 0.000
Theoretical density, g/cm³: 7.2
Calculated total energy, eV per atom: -3.2790